No. 1
Crystalline Rb2Er2RhO6 at its relaxed geometry, computed with PBE.

Unit cell a=5.7294 b=5.7294 c=6.8668 alpha=97.46 beta=97.46 gamma=119.57
Closest atoms and distances in Å follow each position.
Atoms (fractional coordinates):
Rb: 0.1640 0.8360 0.0000  6 O 2.85-3.05
Rb: 0.8360 0.1640 0.0000  6 O 2.85-3.05
Er: 0.3350 0.6650 0.5000  6 O 2.26-2.27
Er: 0.6650 0.3350 0.5000  6 O 2.26-2.27
Rh: 0.0000 0.0000 0.5000  6 O 2.09-2.10
O: 0.0485 0.3625 0.6643  1 Rh 2.10, 2 Er 2.26-2.27
O: 0.2565 0.2565 0.3339  1 Rh 2.09, 2 Er 2.26
O: 0.3625 0.0485 0.6643  1 Rh 2.10, 2 Er 2.26-2.27
O: 0.6375 0.9515 0.3357  1 Rh 2.10, 2 Er 2.26-2.27
O: 0.7435 0.7435 0.6661  1 Rh 2.09, 2 Er 2.26
O: 0.9515 0.6375 0.3357  1 Rh 2.10, 2 Er 2.26-2.27

As for the energy relative to the elements, uncorrected: -23.87 eV per formula unit. The space group is No. 12. The value obtained for the calculated density is 6.17 g cm⁻³.



No. 2
Crystalline Tb6Nd3Mg at its relaxed geometry, computed with PBE.

Unit cell a=8.8083 b=8.8083 c=9.1660 alpha=90.00 beta=90.00 gamma=114.42
Closest atoms and distances in Å follow each position.
Atoms (fractional coordinates):
Tb: 0.0656 0.9344 0.5000  1 Mg 3.29, 7 Tb 3.34-3.66
Tb: 0.1363 0.2838 0.6852  3 Nd 3.31-3.58, 1 Mg 3.32, 4 Tb 3.34-3.51
Tb: 0.1688 0.4759 0.0202  3 Nd 3.29-3.55, 1 Mg 3.32, 3 Tb 3.34-3.46
Tb: 0.2838 0.1363 0.1852  3 Nd 3.31-3.58, 1 Mg 3.32, 4 Tb 3.34-3.51
Tb: 0.2987 0.7013 0.6333  1 Mg 3.33, 3 Tb 3.38-3.66, 3 Nd 3.42-3.57
Tb: 0.4759 0.1688 0.5202  3 Nd 3.29-3.55, 1 Mg 3.32, 3 Tb 3.34-3.46
Tb: 0.5241 0.8312 0.0202  3 Nd 3.29-3.55, 1 Mg 3.32, 3 Tb 3.34-3.46
Tb: 0.7013 0.2987 0.1333  1 Mg 3.33, 3 Tb 3.38-3.66, 3 Nd 3.42-3.57
Tb: 0.7162 0.8637 0.6852  3 Nd 3.31-3.58, 1 Mg 3.32, 4 Tb 3.34-3.51
Tb: 0.8312 0.5241 0.5202  3 Nd 3.29-3.55, 1 Mg 3.32, 3 Tb 3.34-3.46
Tb: 0.8637 0.7162 0.1852  3 Nd 3.31-3.58, 1 Mg 3.32, 4 Tb 3.34-3.51
Tb: 0.9344 0.0656 0.0000  1 Mg 3.29, 7 Tb 3.34-3.66
Nd: 0.0301 0.3221 0.3448  5 Tb 3.29-3.58, 2 Nd 3.36-3.53, 1 Mg 3.55
Nd: 0.3221 0.0301 0.8448  5 Tb 3.29-3.58, 2 Nd 3.36-3.53, 1 Mg 3.55
Nd: 0.4686 0.5314 0.3563  1 Mg 3.42, 2 Nd 3.53, 5 Tb 3.54-3.57
Nd: 0.5314 0.4686 0.8563  1 Mg 3.42, 2 Nd 3.53, 5 Tb 3.54-3.57
Nd: 0.6779 0.9699 0.3448  5 Tb 3.29-3.58, 2 Nd 3.36-3.53, 1 Mg 3.55
Nd: 0.9699 0.6779 0.8448  5 Tb 3.29-3.58, 2 Nd 3.36-3.53, 1 Mg 3.55
Mg: 0.2420 0.7580 0.2822  6 Tb 3.29-3.33, 3 Nd 3.42-3.55
Mg: 0.7580 0.2420 0.7822  6 Tb 3.29-3.33, 3 Nd 3.42-3.55

The calculation puts the relative energy among the computed polymorphs at 0.000 eV/atom. The space group is No. 36. The value obtained for the calculated density is 7.23 g cm⁻³. Its formation energy is 116 meV/atom.



No. 3
Crystalline Nd6Ga3O at its relaxed geometry, computed with PBE.

Unit cell a=6.5846 b=8.0907 c=11.4941 alpha=90.00 beta=119.39 gamma=90.00
Closest atoms and distances in Å follow each position.
Atoms (fractional coordinates):
Nd: 0.0818 0.0521 0.2335  1 O 2.50
Nd: 0.0818 0.4479 0.7335  1 O 2.50
Nd: 0.1844 0.7142 0.0621  1 O 2.55
Nd: 0.1844 0.7858 0.5621  1 O 2.55
Nd: 0.3887 0.1520 0.0533  1 O 2.63
Nd: 0.3887 0.3480 0.5533  1 O 2.63
Nd: 0.6113 0.6520 0.4467  1 O 2.63
Nd: 0.6113 0.8480 0.9467  1 O 2.63
Nd: 0.8156 0.2142 0.4379  1 O 2.55
Nd: 0.8156 0.2858 0.9379  1 O 2.55
Nd: 0.9182 0.5521 0.2665  1 O 2.50
Nd: 0.9182 0.9479 0.7665  1 O 2.50
Ga: 0.3207 0.1152 0.7412  7 Nd 3.06-3.40
Ga: 0.3207 0.3848 0.2412  7 Nd 3.06-3.40
Ga: 0.5000 0.0000 0.5000  6 Nd 2.98-3.05
Ga: 0.5000 0.5000 0.0000  6 Nd 2.98-3.05
Ga: 0.6793 0.6152 0.7588  7 Nd 3.06-3.40
Ga: 0.6793 0.8848 0.2588  7 Nd 3.06-3.40
O: 0.0000 0.0000 0.0000  6 Nd 2.50-2.63
O: 0.0000 0.5000 0.5000  6 Nd 2.50-2.63

As for the energy relative to the elements, uncorrected: -8.31 eV per formula unit. The space group is No. 14. The value obtained for the calculated density is 6.79 g cm⁻³.



For each record above, in turn, the calculated uncorrected energy values are -6.5486; -4.2518; -5.0952 eV per atom.